No. 1
## HfPdSe3 (PBE)

Data for an optimized crystal structure of HfPdSe3.

Computed properties:
DOS at the Fermi energy: 3.80 states/eV/cell
DFT total energy: -0.3613 Ry per atom
Energy relative to the lowest polymorph listed for this composition: 285 meV/atom
Formation energy (no corrections): 98 kJ/mol of formula units
Space group: Pm-3m (221)

a b c (Å): 4.855 4.855 4.855
angles (deg): 90.00 90.00 90.00
Sites, in units of the cell vectors:
Se  0.000  0.000  0.500
Se  0.000  0.500  0.000
Se  0.500  0.000  0.000
Pd  0.000  0.000  0.000
Hf  0.500  0.500  0.500

No. 2
## HfPd3Se (PBE)

Data for an optimized crystal structure of HfPd3Se.

Computed properties:
DOS at the Fermi energy: 5.23 states/eV/cell
DFT total energy: -0.4133 Ry per atom
Energy relative to the lowest polymorph listed for this composition: 0 meV/atom
Formation energy (no corrections): 87 kJ/mol of formula units
Space group: Pm-3m (221)

a b c (Å): 4.648 4.648 4.648
angles (deg): 90.00 90.00 90.00
Last column: magnetic moment on the atom in μB.
Sites, in units of the cell vectors:
Se  0.000  0.000  0.000  0.01
Pd  0.000  0.000  0.500  0.04
Pd  0.000  0.500  0.000  0.01
Pd  0.500  0.000  0.000  0.01
Hf  0.500  0.500  0.500  0.33

No. 3
## HfSiPd2Se (PBE)

Data for an optimized crystal structure of HfSiPd2Se.

Computed properties:
DOS at the Fermi energy: 4.13 states/eV/cell
DFT total energy: -0.4273 Ry per atom
Formation energy (no corrections): 17 kJ/mol of formula units
Space group: P4/mmm (123)

a b c (Å): 4.473 5.074 4.473
angles (deg): 90.00 90.00 90.00
Sites, in units of the cell vectors:
Hf  0.000  0.500  0.000
Pd  0.000  0.000  0.500
Pd  0.500  0.000  0.000
Se  0.500  0.500  0.500
Si  0.000  0.000  0.000

No. 4
## HfTiPdSe2 (PBE)

Data for an optimized crystal structure of HfTiPdSe2.

Computed properties:
DOS at the Fermi energy: 3.33 states/eV/cell
DFT total energy: -0.4424 Ry per atom
Formation energy (no corrections): -8 kJ/mol of formula units
Space group: P4/mmm (123)

a b c (Å): 4.774 4.765 4.774
angles (deg): 90.00 90.00 90.00
Sites, in units of the cell vectors:
Se  0.500  0.000  0.000
Se  0.000  0.000  0.500
Hf  0.500  0.500  0.500
Pd  0.000  0.500  0.000
Ti  0.000  0.000  0.000